# 1
LaCrAgO6 | PBEsol | relaxed

abc: 4.542 7.283 8.513
angles: 90.00 104.94 90.00
Element x y z (fractional)
O  0.211  0.605  0.058
O  0.900  0.320  0.303
O  0.711  0.395  0.558
O  0.120  0.130  0.753
O  0.320  0.071  0.435
O  0.789  0.847  0.572
O  0.820  0.929  0.935
O  0.771  0.307  0.915
O  0.271  0.693  0.415
O  0.289  0.153  0.072
O  0.620  0.870  0.253
O  0.400  0.680  0.803
La  0.884  0.601  0.775
La  0.384  0.399  0.275
Ag  0.506  0.782  0.021
Ag  0.006  0.218  0.521
Cr  0.490  0.869  0.418
Cr  0.990  0.131  0.918

Computed properties:
Raw total energy in eV per atom: -7.295
Raw formation energy in meV/atom: -1695.2
Mass density in Mg/m³: 4.82


# 2
KMo3Cl | PBEsol | relaxed

abc: 4.522 4.522 4.522
angles: 90.00 90.00 90.00
Element x y z (fractional)
Cl  0.500  0.500  0.500
Mo  0.000  0.500  0.000
Mo  0.000  0.000  0.500
Mo  0.500  0.000  0.000
K  0.000  0.000  0.000

Computed properties:
Raw total energy in eV per atom: -4.237
Raw formation energy in meV/atom: 3451.8
Mass density in Mg/m³: 6.51


# 3
RbTe3Mo3 | PBEsol | relaxed

abc: 4.565 9.800 9.800
angles: 120.00 90.00 90.00
Element x y z (fractional)
Rb  0.750  0.667  0.333
Rb  0.250  0.333  0.667
Mo  0.250  0.141  0.974
Mo  0.750  0.859  0.026
Mo  0.250  0.026  0.167
Mo  0.250  0.833  0.859
Mo  0.750  0.974  0.833
Mo  0.750  0.167  0.141
Te  0.750  0.054  0.354
Te  0.750  0.299  0.946
Te  0.750  0.646  0.701
Te  0.250  0.701  0.054
Te  0.250  0.946  0.646
Te  0.250  0.354  0.299

Computed properties:
Raw total energy in eV per atom: -7.184
Raw formation energy in meV/atom: -482.5
Mass density in Mg/m³: 6.61


# 4
TaMoPb | PBEsol | relaxed

abc: 3.217 3.217 6.692
angles: 90.00 90.00 120.00
Element x y z (fractional)
Mo  0.000  0.000  0.030
Pb  0.333  0.667  0.673
Ta  0.667  0.333  0.297

Computed properties:
Raw total energy in eV per atom: -8.968
Mass density in Mg/m³: 13.41


# 5
FeSbRuI2 | PBEsol | relaxed

abc: 4.941 5.355 5.355
angles: 90.00 90.00 90.00
Element x y z (fractional)
Ru  0.000  0.000  0.000
Sb  0.500  0.000  0.000
I  0.000  0.000  0.500
I  0.000  0.500  0.000
Fe  0.500  0.500  0.500

Computed properties:
Raw total energy in eV per atom: -4.405
Raw formation energy in meV/atom: 1040.8
Mass density in Mg/m³: 6.24


# 6
GaCuTe2 | PBEsol | relaxed

abc: 3.545 3.545 9.407
angles: 79.14 79.14 60.00
Element x y z (fractional)
Cu  0.500  0.500  0.500
Te  0.892  0.892  0.323
Te  0.108  0.108  0.677
Ga  0.000  0.000  0.000

Computed properties:
Raw total energy in eV per atom: -3.472
Raw formation energy in meV/atom: 209.6
Mass density in Mg/m³: 6.46


> Which value of mass density does entry 1 give?

4.82 Mg/m³